{
  "formula": "NaHoAgHg",
  "functional": "GGA-PBE",
  "state": "relaxed",
  "lattice_angstrom": [[-2.623, 1.272, 4.187], [1.293, -1.981, 4.521], [2.152, 2.956, 3.559]],
  "species": ["Na", "Ho", "Ag", "Hg"],
  "frac_coords": [[0.000, 0.000, 0.000], [0.500, 0.500, 0.500], [0.750, 0.750, 0.750], [0.250, 0.250, 0.250]],
  "formation_energy_ev_per_atom": -0.200
}